Record 1
Below is a relaxed CdInTe2 crystal, with properties calculated at the PBE level.

Values from the calculation:
**ΔE_f (raw)**: 1.6 kcal/mol of atoms
**Size of the total moment**: 0.0 μB/cell
**Total energy**: -2.42 eV per atom

The structure in CIF format:
```
data_CdInTe2
_cell_length_a 3.350
_cell_length_b 3.350
_cell_length_c 10.309
_cell_angle_alpha 90.00
_cell_angle_beta 90.00
_cell_angle_gamma 90.00
_symmetry_space_group_name_H-M 'P 4 m m'
_symmetry_Int_Tables_number 99
_symmetry_space_group_name_Hall 'P 4 -2'
loop_
_atom_site_label
_atom_site_fract_x
_atom_site_fract_y
_atom_site_fract_z
_atom_site_occupancy
Cd1 0.000 0.000 0.000 1
In1 0.500 0.500 0.213 1
Te1 0.000 0.000 0.447 1
Te2 0.500 0.500 0.782 1
```

Record 2
Below is a relaxed Rb2CdH5 crystal, with properties calculated at the PBE level.

Values from the calculation:
**Size of the total moment**: 4.0 μB/cell
**Total energy**: -2.28 eV per atom

The structure in CIF format:
```
data_Rb2CdH5
_cell_length_a 4.561
_cell_length_b 13.052
_cell_length_c 11.576
_cell_angle_alpha 90.00
_cell_angle_beta 90.00
_cell_angle_gamma 90.00
_symmetry_space_group_name_H-M 'C m c m'
_symmetry_Int_Tables_number 63
_symmetry_space_group_name_Hall '-C 2c 2'
loop_
_atom_site_label
_atom_site_fract_x
_atom_site_fract_y
_atom_site_fract_z
_atom_site_occupancy
Rb1 0.000 0.142 0.083 1
Cd1 0.000 0.163 0.750 1
H1 0.000 0.061 0.639 1
H2 0.000 0.261 0.631 1
H3 0.000 0.316 0.250 1
```

Record 3
Below is a relaxed LiC crystal, with properties calculated at the PBE level.

Values from the calculation:
**DFT formation energy**: 0.117 eV per atom
**Size of the total moment**: 0.0 μB/cell
**Energy above the most stable polymorph in this dataset**: 0.20 eV per formula unit
**Total energy**: -5.45 eV per atom

The structure in CIF format:
```
data_LiC
_cell_length_a 3.392
_cell_length_b 2.574
_cell_length_c 4.225
_cell_angle_alpha 90.00
_cell_angle_beta 113.71
_cell_angle_gamma 90.00
_symmetry_space_group_name_H-M 'P 1 21/m 1'
_symmetry_Int_Tables_number 11
_symmetry_space_group_name_Hall '-P 2yb'
loop_
_atom_site_label
_atom_site_fract_x
_atom_site_fract_y
_atom_site_fract_z
_atom_site_occupancy
Li1 0.147 0.250 0.297 1
C1 0.454 0.250 0.915 1
```

Record 4
Below is a relaxed Th2CdPdRh5 crystal, with properties calculated at the PBE level.

Values from the calculation:
**DFT formation energy**: -0.141 eV per atom
**Size of the total moment**: 0.0 μB/cell
**Total energy**: -6.55 eV per atom

The structure in CIF format:
```
data_Th2CdPdRh5
_cell_length_a 8.257
_cell_length_b 8.257
_cell_length_c 10.798
_cell_angle_alpha 90.00
_cell_angle_beta 90.00
_cell_angle_gamma 90.00
_symmetry_space_group_name_H-M 'I 4/m c m'
_symmetry_Int_Tables_number 140
_symmetry_space_group_name_Hall '-I 4 2c'
loop_
_atom_site_label
_atom_site_fract_x
_atom_site_fract_y
_atom_site_fract_z
_atom_site_occupancy
Th1 0.140 0.360 0.000 1
Cd1 0.000 0.000 0.250 1
Pd1 0.000 0.500 0.250 1
Rh1 0.000 0.000 0.000 1
Rh2 0.194 0.306 0.361 1
```

Record 5
Below is a relaxed CsCdB2Br8 crystal, with properties calculated at the PBE level.

Values from the calculation:
**ΔE_f (raw)**: -15.4 kcal/mol of atoms
**Size of the total moment**: 3.2 μB/cell
**Total energy**: -3.04 eV per atom

The structure in CIF format:
```
data_CsCdB2Br8
_cell_length_a 6.7712
_cell_length_b 6.7712
_cell_length_c 31.0178
_cell_angle_alpha 90.00
_cell_angle_beta 90.00
_cell_angle_gamma 120.00
_symmetry_space_group_name_H-M 'R -3'
_symmetry_Int_Tables_number 148
_symmetry_space_group_name_Hall '-R 3'
loop_
_atom_site_label
_atom_site_fract_x
_atom_site_fract_y
_atom_site_fract_z
_atom_site_occupancy
Cs1 0.0000 0.0000 0.0000 1
Cd1 0.0000 0.0000 0.5000 1
B1 0.0000 0.0000 0.2502 1
Br1 0.0000 0.0000 0.3157 1
Br2 0.0307 0.2989 0.7713 1
```

Record 6
Below is a relaxed RbHfSc crystal, with properties calculated at the PBE level.

Values from the calculation:
**DFT formation energy**: 1.105 eV per atom
**Size of the total moment**: 0.0 μB/cell
**Energy above the most stable polymorph in this dataset**: 2.20 eV per formula unit
**Total energy**: -4.65 eV per atom

The structure in CIF format:
```
data_RbHfSc
_cell_length_a 6.583
_cell_length_b 5.617
_cell_length_c 9.640
_cell_angle_alpha 90.00
_cell_angle_beta 90.00
_cell_angle_gamma 90.00
_symmetry_space_group_name_H-M 'P n m a'
_symmetry_Int_Tables_number 62
_symmetry_space_group_name_Hall '-P 2ac 2n'
loop_
_atom_site_label
_atom_site_fract_x
_atom_site_fract_y
_atom_site_fract_z
_atom_site_occupancy
Rb1 0.000 0.250 0.092 1
Hf1 0.249 0.250 0.750 1
Sc1 0.000 0.250 0.445 1
```

Record 7
Below is a relaxed Ac4Ga5Si2 crystal, with properties calculated at the PBE level.

Values from the calculation:
**ΔE_f (raw)**: -12.5 kcal/mol of atoms
**Size of the total moment**: 0.0 μB/cell
**Total energy**: -4.40 eV per atom

The structure in CIF format:
```
data_Ac4Ga5Si2
_cell_length_a 7.373
_cell_length_b 4.753
_cell_length_c 8.411
_cell_angle_alpha 90.00
_cell_angle_beta 94.17
_cell_angle_gamma 90.00
_symmetry_space_group_name_H-M 'P 1 2/m 1'
_symmetry_Int_Tables_number 10
_symmetry_space_group_name_Hall '-P 2y'
loop_
_atom_site_label
_atom_site_fract_x
_atom_site_fract_y
_atom_site_fract_z
_atom_site_occupancy
Ac1 0.221 0.000 0.143 1
Ac2 0.253 0.000 0.630 1
Ga1 0.117 0.500 0.884 1
Ga2 0.419 0.500 0.361 1
Ga3 0.500 0.500 0.000 1
Si1 0.076 0.500 0.379 1
```

Record 8
Below is a relaxed LaY2SbC crystal, with properties calculated at the PBE level.

Values from the calculation:
**ΔE_f (raw)**: -13.8 kcal/mol of atoms
**Size of the total moment**: 0.0 μB/cell
**Total energy**: -6.84 eV per atom

The structure in CIF format:
```
data_LaY2SbC
_cell_length_a 4.908
_cell_length_b 4.908
_cell_length_c 5.188
_cell_angle_alpha 90.00
_cell_angle_beta 90.00
_cell_angle_gamma 90.00
_symmetry_space_group_name_H-M 'P 4/m m m'
_symmetry_Int_Tables_number 123
_symmetry_space_group_name_Hall '-P 4 2'
loop_
_atom_site_label
_atom_site_fract_x
_atom_site_fract_y
_atom_site_fract_z
_atom_site_occupancy
La1 0.000 0.000 0.000 1
Y1 0.000 0.500 0.500 1
Sb1 0.500 0.500 0.000 1
C1 0.000 0.000 0.500 1
```

Record 9
Below is a relaxed NaGa2Pd2 crystal, with properties calculated at the PBE level.

Values from the calculation:
**DFT formation energy**: -0.519 eV per atom
**Size of the total moment**: 0.0 μB/cell
**Energy above the most stable polymorph in this dataset**: 0.05 eV per formula unit
**Total energy**: -4.07 eV per atom

The structure in CIF format:
```
data_NaGa2Pd2
_cell_length_a 7.675
_cell_length_b 7.675
_cell_length_c 2.835
_cell_angle_alpha 90.00
_cell_angle_beta 90.00
_cell_angle_gamma 90.00
_symmetry_space_group_name_H-M 'P 4/m b m'
_symmetry_Int_Tables_number 127
_symmetry_space_group_name_Hall '-P 4 2ab'
loop_
_atom_site_label
_atom_site_fract_x
_atom_site_fract_y
_atom_site_fract_z
_atom_site_occupancy
Na1 0.000 0.000 0.000 1
Ga1 0.147 0.353 0.500 1
Pd1 0.149 0.649 0.000 1
```

Record 10
Below is a relaxed TaInNi2 crystal, with properties calculated at the PBE level.

Values from the calculation:
**DFT formation energy**: 0.029 eV per atom
**Size of the total moment**: 0.0 μB/cell
**Total energy**: -6.51 eV per atom

The structure in CIF format:
```
data_TaInNi2
_cell_length_a 2.864
_cell_length_b 4.473
_cell_length_c 9.429
_cell_angle_alpha 90.00
_cell_angle_beta 90.00
_cell_angle_gamma 90.00
_symmetry_space_group_name_H-M 'I m m 2'
_symmetry_Int_Tables_number 44
_symmetry_space_group_name_Hall 'I 2 -2'
loop_
_atom_site_label
_atom_site_fract_x
_atom_site_fract_y
_atom_site_fract_z
_atom_site_occupancy
Ta1 0.000 0.000 0.000 1
In1 0.000 0.500 0.782 1
Ni1 0.000 0.000 0.536 1
Ni2 0.000 0.500 0.253 1
```

Record 11
Below is a relaxed SrSi crystal, with properties calculated at the PBE level.

Values from the calculation:
**ΔE_f (raw)**: -6.4 kcal/mol of atoms
**Size of the total moment**: 0.0 μB/cell
**Total energy**: -3.83 eV per atom

The structure in CIF format:
```
data_SrSi
_cell_length_a 11.784
_cell_length_b 11.784
_cell_length_c 3.994
_cell_angle_alpha 90.00
_cell_angle_beta 90.00
_cell_angle_gamma 90.00
_symmetry_space_group_name_H-M 'P 4/m'
_symmetry_Int_Tables_number 83
_symmetry_space_group_name_Hall '-P 4'
loop_
_atom_site_label
_atom_site_fract_x
_atom_site_fract_y
_atom_site_fract_z
_atom_site_occupancy
Sr1 0.004 0.705 0.000 1
Sr2 0.314 0.317 0.500 1
Si1 0.098 0.475 0.500 1
Si2 0.204 0.514 0.000 1
```

Record 12
Below is a relaxed Nd8Zn2Ag crystal, with properties calculated at the PBE level.

Values from the calculation:
**DFT formation energy**: -0.116 eV per atom
**Size of the total moment**: 0.0 μB/cell
**Total energy**: -4.07 eV per atom

The structure in CIF format:
```
data_Nd8Zn2Ag
_cell_length_a 18.490
_cell_length_b 5.228
_cell_length_c 7.048
_cell_angle_alpha 90.00
_cell_angle_beta 103.67
_cell_angle_gamma 90.00
_symmetry_space_group_name_H-M 'C 1 2/m 1'
_symmetry_Int_Tables_number 12
_symmetry_space_group_name_Hall '-C 2y'
loop_
_atom_site_label
_atom_site_fract_x
_atom_site_fract_y
_atom_site_fract_z
_atom_site_occupancy
Nd1 0.029 0.000 0.266 1
Nd2 0.091 0.500 0.957 1
Nd3 0.165 0.500 0.464 1
Nd4 0.198 0.000 0.816 1
Zn1 0.191 0.000 0.232 1
Ag1 0.000 0.500 0.500 1
```